1.
Crystalline HfMg4Pd15 at its relaxed geometry. Source: Alexandria via LeMat-Bulk, functional PBE-GGA.

ΔH_f (0 K): -0.56 eV per atom
N(E_F): 1.24 states/eV/atom

a = 3.9827 Å, b = 3.9827 Å, c = 19.8704 Å
α = 90.00°, β = 90.00°, γ = 90.00°
Closest atoms and distances in Å follow each position.
Element x y z (fractional)
Hf: 0.0000 0.0000 0.0000  12 Pd 2.81-2.82
Mg: 0.0000 0.0000 0.2020  12 Pd 2.80-2.84
Mg: 0.0000 0.0000 0.4000  12 Pd 2.80-2.82
Mg: 0.0000 0.0000 0.6000  12 Pd 2.80-2.82
Mg: 0.0000 0.0000 0.7980  12 Pd 2.80-2.84
Pd: 0.5000 0.5000 0.0000  8 Pd 2.81, 4 Hf 2.82
Pd: 0.5000 0.5000 0.2009  4 Mg 2.82, 8 Pd 2.82
Pd: 0.5000 0.5000 0.4011  8 Pd 2.80-2.81, 4 Mg 2.82
Pd: 0.5000 0.5000 0.5989  8 Pd 2.80-2.81, 4 Mg 2.82
Pd: 0.5000 0.5000 0.7991  4 Mg 2.82, 8 Pd 2.82
Pd: 0.5000 0.0000 0.1001  2 Hf 2.81, 8 Pd 2.81-2.82, 2 Mg 2.84
Pd: 0.5000 0.0000 0.3011  4 Mg 2.80, 8 Pd 2.81-2.82
Pd: 0.5000 0.0000 0.5000  8 Pd 2.80-2.82, 4 Mg 2.81
Pd: 0.5000 0.0000 0.6988  4 Mg 2.80, 8 Pd 2.81-2.82
Pd: 0.5000 0.0000 0.8999  2 Hf 2.81, 8 Pd 2.81-2.82, 2 Mg 2.84
Pd: 0.0000 0.5000 0.1001  2 Hf 2.81, 8 Pd 2.81-2.82, 2 Mg 2.84
Pd: 0.0000 0.5000 0.3011  4 Mg 2.80, 8 Pd 2.81-2.82
Pd: 0.0000 0.5000 0.5000  8 Pd 2.80-2.82, 4 Mg 2.81
Pd: 0.0000 0.5000 0.6988  4 Mg 2.80, 8 Pd 2.81-2.82
Pd: 0.0000 0.5000 0.8999  2 Hf 2.81, 8 Pd 2.81-2.82, 2 Mg 2.84

***

2.
Crystalline ScHgPS2 at its relaxed geometry. Source: Alexandria via LeMat-Bulk, functional PBE-GGA.

N(E_F): 1.13 states/eV/atom
formation energy without anion corrections: -48 meV/atom

a = 4.8661 Å, b = 4.8661 Å, c = 5.2312 Å
α = 90.00°, β = 90.00°, γ = 90.00°
Closest atoms and distances in Å follow each position.
Element x y z (fractional)
Sc: 0.0000 0.0000 0.0000  4 S 2.43, 2 P 2.62
P: 0.0000 0.0000 0.5000  2 Sc 2.62
S: 0.0000 0.5000 0.0000  2 Sc 2.43
S: 0.5000 0.0000 0.0000  2 Sc 2.43
Hg: 0.5000 0.5000 0.5000  4 P 3.44, 8 S 3.57

***

3.
Crystalline RbTcH3 at its relaxed geometry. Source: Alexandria via LeMat-Bulk, functional PBE-GGA.

N(E_F): 2.19 states/eV/atom
DFT total energy: -2.10 eV per atom

a = 4.2718 Å, b = 4.2718 Å, c = 4.2718 Å
α = 90.00°, β = 90.00°, γ = 90.00°
Closest atoms and distances in Å follow each position.
Element x y z (fractional)
H: 0.0000 0.5000 0.0000  2 Rb 2.14
H: 0.0000 0.0000 0.5000  2 Rb 2.14
H: 0.5000 0.0000 0.0000  2 Rb 2.14
Tc: 0.5000 0.5000 0.5000  12 H 3.02
Rb: 0.0000 0.0000 0.0000  6 H 2.14

***

4.
Crystalline SrAgBiAu at its relaxed geometry. Source: Alexandria via LeMat-Bulk, functional PBE-GGA.

ΔH_f (0 K): -0.39 eV per atom
N(E_F): 0.78 states/eV/atom

a = 5.2649 Å, b = 5.2649 Å, c = 5.2649 Å
α = 60.00°, β = 60.00°, γ = 60.00°
Closest atoms and distances in Å follow each position.
Element x y z (fractional)
Sr: 0.5000 0.5000 0.5000  4 Au 3.22, 4 Ag 3.22
Au: 0.7500 0.7500 0.7500  4 Sr 3.22, 4 Bi 3.22
Bi: 0.0000 0.0000 0.0000  4 Ag 3.22, 4 Au 3.22
Ag: 0.2500 0.2500 0.2500  4 Bi 3.22, 4 Sr 3.22

***

5.
Crystalline Fe3PbN at its relaxed geometry. Source: Alexandria via LeMat-Bulk, functional PBE-GGA.

N(E_F): 1.20 states/eV/atom
formation energy without anion corrections: 283 meV/atom

a = 3.8797 Å, b = 3.8797 Å, c = 3.8797 Å
α = 90.00°, β = 90.00°, γ = 90.00°
Closest atoms and distances in Å follow each position.
Element x y z (fractional)
Pb: 0.5000 0.5000 0.5000  12 Fe 2.74
Fe: 0.0000 0.5000 0.0000  2 N 1.94
Fe: 0.0000 0.0000 0.5000  2 N 1.94
Fe: 0.5000 0.0000 0.0000  2 N 1.94
N: 0.0000 0.0000 0.0000  6 Fe 1.94

***

6.
Crystalline Li2CaInB at its relaxed geometry. Source: Alexandria via LeMat-Bulk, functional PBE-GGA.

ΔH_f (0 K): 1.12 eV per atom
N(E_F): 0.44 states/eV/atom

a = 5.5002 Å, b = 4.5761 Å, c = 5.5002 Å
α = 90.00°, β = 90.00°, γ = 90.00°
Closest atoms and distances in Å follow each position.
Element x y z (fractional)
Ca: 0.0000 0.0000 0.0000  2 B 2.29
B: 0.0000 0.5000 0.0000  2 Ca 2.29
Li: 0.0000 0.0000 0.5000  2 Ca 2.75
Li: 0.5000 0.0000 0.0000  2 Ca 2.75
In: 0.5000 0.5000 0.5000  8 Li 3.58, 4 B 3.89

***

7.
Crystalline ZnBr3O at its relaxed geometry. Source: Alexandria via LeMat-Bulk, functional PBE-GGA.

N(E_F): 0.00 states/eV/atom
formation energy without anion corrections: -422 meV/atom

a = 6.8148 Å, b = 7.4540 Å, c = 7.7459 Å
α = 117.30°, β = 100.08°, γ = 98.32°
Closest atoms and distances in Å follow each position.
Element x y z (fractional)
Zn: 0.3881 0.9731 0.8824  1 O 1.96
Zn: 0.5478 0.6047 0.9291  1 O 2.01
O: 0.5202 0.6034 0.1821  1 Br 1.77
O: 0.3564 0.1980 0.1297  1 Br 1.76, 1 Zn 1.96
Br: 0.2993 0.4327 0.1649  2 O 1.76-1.77
Br: 0.1985 0.6201 0.7799  2 Zn 2.44-2.50
Br: 0.9259 0.7899 0.4239  1 Br 2.45
Br: 0.7376 0.9377 0.9764  2 Zn 2.45-2.46
Br: 0.2748 0.0234 0.5791  1 Br 2.45, 1 Zn 2.55
Br: 0.6677 0.3073 0.7339  1 Zn 2.40

***

8.
Crystalline RbBa2InPt at its relaxed geometry. Source: Alexandria via LeMat-Bulk, functional PBE-GGA.

ΔH_f (0 K): -0.34 eV per atom
N(E_F): 0.66 states/eV/atom

a = 6.3172 Å, b = 5.3915 Å, c = 6.3172 Å
α = 90.00°, β = 90.00°, γ = 90.00°
Closest atoms and distances in Å follow each position.
Element x y z (fractional)
Rb: 0.5000 0.5000 0.5000  8 Ba 4.15, 4 In 4.47
Ba: 0.0000 0.0000 0.5000  2 Pt 3.16
Ba: 0.5000 0.0000 0.0000  2 Pt 3.16
Pt: 0.0000 0.0000 0.0000  2 In 2.70
In: 0.0000 0.5000 0.0000  2 Pt 2.70